Entry from the Alexandria database: a relaxed TbIrO5 crystal (GGA-PBE).

Structure (POSCAR):
```
TbIrO5
1.0
3.031 -4.249 0.000
3.031 4.249 0.000
-1.368 0.000 6.786
Tb Ir O
2 2 10
Direct
0.111 0.889 0.750
0.889 0.111 0.250
0.500 0.500 0.000
0.500 0.500 0.500
0.130 0.258 0.992
0.194 0.565 0.377
0.258 0.130 0.492
0.390 0.610 0.750
0.435 0.806 0.123
0.565 0.194 0.877
0.610 0.390 0.250
0.742 0.870 0.508
0.806 0.435 0.623
0.870 0.742 0.008
```

Computed properties:
* ΔE_f (raw): -1491.8 meV/atom



Entry from the Alexandria database: a relaxed Ce2ErSn crystal (GGA-PBE).

Structure (POSCAR):
```
Ce2ErSn
1.0
4.582 0.000 0.000
0.000 4.582 0.000
0.000 0.000 5.136
Ce Er Sn
2 1 1
Direct
0.000 0.500 0.000
0.500 0.000 0.000
0.000 0.000 0.500
0.500 0.500 0.500
```

Computed properties:
* ΔE_f: -1.59 eV per formula unit
* offset from the most stable computed form: 0.000 eV per atom



Entry from the Alexandria database: a relaxed La2Sm6Ho3Tm crystal (GGA-PBE).

Structure (POSCAR):
```
La2Sm6Ho3Tm
1.0
3.129 -5.421 0.000
3.129 5.421 0.000
-2.093 0.000 11.787
La Sm Ho Tm
2 6 3 1
Direct
0.167 0.833 0.000
0.833 0.167 0.000
0.084 0.415 0.746
0.253 0.253 0.255
0.415 0.084 0.746
0.585 0.916 0.254
0.747 0.747 0.745
0.916 0.585 0.254
0.000 0.000 0.500
0.334 0.666 0.500
0.666 0.334 0.500
0.500 0.500 0.000
```

Computed properties:
* ΔE_f: 0.26 eV per formula unit



Entry from the Alexandria database: a relaxed LaY3I crystal (GGA-PBE).

Structure (POSCAR):
```
LaY3I
1.0
5.713 0.000 0.000
0.000 5.713 0.000
0.000 0.000 5.713
La Y I
1 3 1
Direct
0.000 0.000 0.000
0.000 0.500 0.500
0.500 0.000 0.500
0.500 0.500 0.000
0.500 0.500 0.500
```

Computed properties:
* offset from the most stable computed form: 0.000 eV per atom
* ΔE_f (raw): 66.7 meV/atom



Entry from the Alexandria database: a relaxed CaAcSnIr crystal (GGA-PBE).

Structure (POSCAR):
```
CaAcSnIr
1.0
7.279 0.000 0.000
0.000 7.279 0.000
0.000 0.000 7.279
Ca Ac Sn Ir
4 4 4 4
Direct
0.000 0.000 0.000
0.000 0.500 0.500
0.500 0.000 0.500
0.500 0.500 0.000
0.250 0.250 0.250
0.250 0.750 0.750
0.750 0.250 0.750
0.750 0.750 0.250
0.250 0.250 0.750
0.250 0.750 0.250
0.750 0.250 0.250
0.750 0.750 0.750
0.000 0.000 0.500
0.000 0.500 0.000
0.500 0.000 0.000
0.500 0.500 0.500
```

Computed properties:
* ΔE_f: -1.51 eV per formula unit



Entry from the Alexandria database: a relaxed BaPrPb6 crystal (GGA-PBE).

Structure (POSCAR):
```
BaPrPb6
1.0
5.061 0.000 0.000
0.000 5.061 0.000
0.000 0.000 9.999
Ba Pr Pb
1 1 6
Direct
0.000 0.000 0.000
0.000 0.000 0.500
0.000 0.500 0.259
0.000 0.500 0.741
0.500 0.000 0.259
0.500 0.000 0.741
0.500 0.500 0.000
0.500 0.500 0.500
```

Computed properties:
* ΔE_f: -3.00 eV per formula unit



Entry from the Alexandria database: a relaxed Tb3Pm4Pr2 crystal (GGA-PBE).

Structure (POSCAR):
```
Tb3Pm4Pr2
1.0
10.010 -1.783 0.000
10.010 1.783 0.000
-1.389 0.000 8.673
Tb Pm Pr
3 4 2
Direct
0.000 0.000 0.000
0.106 0.106 0.361
0.894 0.894 0.639
0.280 0.280 0.351
0.451 0.451 0.316
0.549 0.549 0.684
0.720 0.720 0.649
0.333 0.333 0.958
0.667 0.667 0.042
```

Computed properties:
* ΔE_f: 0.69 eV per formula unit
* offset from the most stable computed form: 0.000 eV per atom



Entry from the Alexandria database: a relaxed La2Nd2Ho crystal (GGA-PBE).

Structure (POSCAR):
```
La2Nd2Ho
1.0
-1.812 2.920 16.642
1.812 -2.920 16.642
1.812 2.920 -16.642
La Nd Ho
4 4 2
Direct
0.042 0.292 0.750
0.438 0.188 0.250
0.562 0.812 0.750
0.958 0.708 0.250
0.132 0.882 0.250
0.228 0.978 0.250
0.772 0.022 0.750
0.868 0.118 0.750
0.325 0.575 0.750
0.675 0.425 0.250
```

Computed properties:
* ΔE_f: 0.62 eV per formula unit
* offset from the most stable computed form: 0.102 eV per atom



Entry from the Alexandria database: a relaxed Ti5TlS8 crystal (GGA-PBE).

Structure (POSCAR):
```
Ti5TlS8
1.0
8.889 -1.708 0.000
8.889 1.708 0.000
-2.301 0.000 8.696
Ti Tl S
5 1 8
Direct
0.000 0.000 0.000
0.292 0.292 0.650
0.336 0.336 0.006
0.664 0.664 0.994
0.708 0.708 0.350
0.500 0.500 0.500
0.088 0.088 0.830
0.161 0.161 0.495
0.244 0.244 0.172
0.423 0.423 0.836
0.577 0.577 0.164
0.756 0.756 0.828
0.839 0.839 0.505
0.912 0.912 0.170
```

Computed properties:
* ΔE_f (raw): -1323.6 meV/atom



Entry from the Alexandria database: a relaxed CaZrSc2 crystal (GGA-PBE).

Structure (POSCAR):
```
CaZrSc2
1.0
7.518 0.000 0.000
0.000 7.518 0.000
0.000 0.000 7.518
Ca Zr Sc
4 4 8
Direct
0.000 0.000 0.000
0.000 0.500 0.500
0.500 0.000 0.500
0.500 0.500 0.000
0.250 0.250 0.250
0.250 0.750 0.750
0.750 0.250 0.750
0.750 0.750 0.250
0.000 0.000 0.500
0.000 0.500 0.000
0.250 0.250 0.750
0.250 0.750 0.250
0.500 0.000 0.000
0.500 0.500 0.500
0.750 0.250 0.250
0.750 0.750 0.750
```

Computed properties:
* ΔE_f: 1.36 eV per formula unit
* offset from the most stable computed form: 0.238 eV per atom



Entry from the Alexandria database: a relaxed Si2SeF crystal (GGA-PBE).

Structure (POSCAR):
```
Si2SeF
1.0
6.355 0.000 0.000
0.000 6.355 0.000
0.000 0.000 6.355
Si Se F
8 4 4
Direct
0.250 0.250 0.250
0.250 0.250 0.750
0.250 0.750 0.250
0.250 0.750 0.750
0.750 0.250 0.250
0.750 0.250 0.750
0.750 0.750 0.250
0.750 0.750 0.750
0.000 0.000 0.000
0.000 0.500 0.500
0.500 0.000 0.500
0.500 0.500 0.000
0.000 0.000 0.500
0.000 0.500 0.000
0.500 0.000 0.000
0.500 0.500 0.500
```

Computed properties:
* offset from the most stable computed form: 0.125 eV per atom
* ΔE_f (raw): -65.2 meV/atom



Entry from the Alexandria database: a relaxed Ga2B2F crystal (GGA-PBE).

Structure (POSCAR):
```
Ga2B2F
1.0
6.343 0.000 0.000
0.000 6.343 0.000
0.000 0.000 2.950
Ga B F
4 4 2
Direct
0.223 0.277 0.000
0.277 0.777 0.000
0.723 0.223 0.000
0.777 0.723 0.000
0.090 0.590 0.500
0.410 0.090 0.500
0.590 0.910 0.500
0.910 0.410 0.500
0.000 0.000 0.500
0.500 0.500 0.500
```

Computed properties:
* offset from the most stable computed form: 0.112 eV per atom
* ΔE_f (raw): 164.9 meV/atom



Entry from the Alexandria database: a relaxed Y2Al6Os crystal (GGA-PBE).

Structure (POSCAR):
```
Y2Al6Os
1.0
5.719 0.000 0.000
-2.860 4.953 0.000
0.000 0.000 6.024
Y Al Os
2 6 1
Direct
0.333 0.667 0.374
0.667 0.333 0.626
0.170 0.340 0.820
0.170 0.830 0.820
0.340 0.170 0.180
0.660 0.830 0.820
0.830 0.170 0.180
0.830 0.660 0.180
0.000 0.000 0.500
```

Computed properties:
* ΔE_f: -3.98 eV per formula unit



Entry from the Alexandria database: a relaxed CdSbPd4 crystal (GGA-PBE).

Structure (POSCAR):
```
CdSbPd4
1.0
3.477 0.000 0.000
0.000 3.477 0.000
0.000 0.000 8.600
Cd Sb Pd
1 1 4
Direct
0.000 0.000 0.000
0.500 0.500 0.500
0.000 0.000 0.335
0.000 0.000 0.665
0.500 0.500 0.167
0.500 0.500 0.833
```

Computed properties:
* offset from the most stable computed form: 0.011 eV per atom
* ΔE_f (raw): -320.4 meV/atom



Entry from the Alexandria database: a relaxed Li5SmCd6 crystal (GGA-PBE).

Structure (POSCAR):
```
Li5SmCd6
1.0
2.435 -7.237 0.000
2.435 7.237 0.000
0.000 0.000 7.030
Li Sm Cd
5 1 6
Direct
0.000 0.000 0.000
0.330 0.670 0.500
0.341 0.659 0.000
0.659 0.341 0.000
0.670 0.330 0.500
0.000 0.000 0.500
0.175 0.825 0.228
0.175 0.825 0.772
0.500 0.500 0.223
0.500 0.500 0.777
0.825 0.175 0.228
0.825 0.175 0.772
```

Computed properties:
* ΔE_f: -2.82 eV per formula unit



Entry from the Alexandria database: a relaxed InTcNi crystal (GGA-PBE).

Structure (POSCAR):
```
InTcNi
1.0
9.421 0.000 0.000
0.000 3.070 0.000
-2.325 0.000 6.421
In Tc Ni
4 4 4
Direct
0.019 0.000 0.295
0.481 0.500 0.705
0.519 0.500 0.295
0.981 0.000 0.705
0.163 0.500 0.051
0.337 0.000 0.949
0.663 0.000 0.051
0.837 0.500 0.949
0.193 0.500 0.634
0.307 0.000 0.366
0.693 0.000 0.634
0.807 0.500 0.366
```

Computed properties:
* ΔE_f: 0.31 eV per formula unit
* offset from the most stable computed form: 0.066 eV per atom



Entry from the Alexandria database: a relaxed BaCa2Pt2 crystal (GGA-PBE).

Structure (POSCAR):
```
BaCa2Pt2
1.0
8.590 0.000 0.000
0.000 8.590 0.000
0.000 0.000 3.471
Ba Ca Pt
2 4 4
Direct
0.000 0.000 0.000
0.500 0.500 0.000
0.129 0.371 0.000
0.371 0.871 0.000
0.629 0.129 0.000
0.871 0.629 0.000
0.166 0.666 0.500
0.334 0.166 0.500
0.666 0.834 0.500
0.834 0.334 0.500
```

Computed properties:
* ΔE_f: -2.96 eV per formula unit
* offset from the most stable computed form: 0.176 eV per atom



Entry from the Alexandria database: a relaxed NiH2Br2 crystal (GGA-PBE).

Structure (POSCAR):
```
NiH2Br2
1.0
2.762 -2.760 0.000
2.762 2.760 0.000
-0.042 0.000 15.502
Ni H Br
2 4 4
Direct
0.024 0.976 0.750
0.976 0.024 0.250
0.092 0.500 0.007
0.500 0.092 0.507
0.500 0.908 0.493
0.908 0.500 0.993
0.022 0.476 0.663
0.476 0.022 0.163
0.524 0.978 0.837
0.978 0.524 0.337
```

Computed properties:
* total energy: -3.3183 eV per atom



Entry from the Alexandria database: a relaxed CaTlNi2 crystal (GGA-PBE).

Structure (POSCAR):
```
CaTlNi2
1.0
7.739 0.000 0.000
0.000 4.460 0.000
-2.568 0.000 4.800
Ca Tl Ni
2 2 4
Direct
0.000 0.000 0.000
0.500 0.500 0.000
0.000 0.500 0.500
0.500 0.000 0.500
0.191 0.000 0.571
0.309 0.500 0.429
0.691 0.500 0.571
0.809 0.000 0.429
```

Computed properties:
* ΔE_f: -0.22 eV per formula unit



Entry from the Alexandria database: a relaxed SmNpTaN3 crystal (GGA-PBE).

Structure (POSCAR):
```
SmNpTaN3
1.0
7.224 0.000 0.000
0.000 3.315 0.000
-0.095 0.000 8.077
Sm Np Ta N
2 2 2 6
Direct
0.133 0.250 0.169
0.867 0.750 0.831
0.379 0.750 0.845
0.621 0.250 0.155
0.139 0.250 0.572
0.861 0.750 0.428
0.145 0.250 0.843
0.156 0.750 0.413
0.394 0.750 0.108
0.606 0.250 0.892
0.844 0.250 0.587
0.855 0.750 0.157
```

Computed properties:
* ΔE_f (raw): -930.7 meV/atom



Entry from the Alexandria database: a relaxed Mg2FePb crystal (GGA-PBE).

Structure (POSCAR):
```
Mg2FePb
1.0
5.929 0.000 0.000
0.000 8.783 0.000
-0.030 0.000 3.161
Mg Fe Pb
4 2 2
Direct
0.250 0.250 0.000
0.250 0.750 0.000
0.750 0.250 0.000
0.750 0.750 0.000
0.000 0.000 0.500
0.500 0.500 0.500
0.000 0.500 0.500
0.500 0.000 0.500
```

Computed properties:
* ΔE_f: 1.22 eV per formula unit



Entry from the Alexandria database: a relaxed BaThAs2 crystal (GGA-PBE).

Structure (POSCAR):
```
BaThAs2
1.0
4.397 0.000 0.000
-2.198 3.808 0.000
0.000 0.000 23.292
Ba Th As
3 3 6
Direct
0.000 0.000 0.000
0.333 0.667 0.667
0.667 0.333 0.333
0.000 0.000 0.830
0.333 0.667 0.496
0.667 0.333 0.163
0.000 0.000 0.234
0.000 0.000 0.426
0.333 0.667 0.093
0.333 0.667 0.900
0.667 0.333 0.567
0.667 0.333 0.759
```

Computed properties:
* ΔE_f: -4.99 eV per formula unit
* offset from the most stable computed form: 0.074 eV per atom



Entry from the Alexandria database: a relaxed RbGaH crystal (GGA-PBE).

Structure (POSCAR):
```
RbGaH
1.0
12.073 0.000 0.000
0.000 6.274 0.000
-1.653 0.000 4.177
Rb Ga H
4 4 4
Direct
0.159 0.000 0.414
0.341 0.500 0.586
0.659 0.500 0.414
0.841 0.000 0.586
0.040 0.500 0.790
0.460 0.000 0.210
0.540 0.000 0.790
0.960 0.500 0.210
0.187 0.500 0.934
0.313 0.000 0.066
0.687 0.000 0.934
0.813 0.500 0.066
```

Computed properties:
* offset from the most stable computed form: 0.042 eV per atom



Entry from the Alexandria database: a relaxed Sr2La2Pt crystal (GGA-PBE).

Structure (POSCAR):
```
Sr2La2Pt
1.0
7.674 0.000 0.000
0.000 7.674 0.000
0.000 0.000 6.465
Sr La Pt
4 4 2
Direct
0.174 0.326 0.000
0.326 0.826 0.000
0.674 0.174 0.000
0.826 0.674 0.000
0.162 0.662 0.500
0.338 0.162 0.500
0.662 0.838 0.500
0.838 0.338 0.500
0.000 0.000 0.500
0.500 0.500 0.500
```

Computed properties:
* ΔE_f: -1.28 eV per formula unit